Entry 1:
First-principles (PBE) data for a relaxed structure of Na2SbSe3, as listed in Alexandria via LeMat-Bulk.

Calculated values
For the calculated volume, the calculation gives 26.81 Å³/atom. As for the raw formation energy: -666 meV/atom. Its total energy is -42.4 eV/cell. The density of states at the Fermi level is 2.07 states/eV/f.u.

Cell lengths 7.823, 7.553, 7.553 Å; angles 48.76, 75.01, 75.01 degrees
Sites, in units of the cell vectors:
Se (0.750, 0.527, 0.473)
Se (0.075, 0.848, 0.853)
Se (0.575, 0.853, 0.848)
Se (0.425, 0.147, 0.152)
Se (0.925, 0.152, 0.147)
Se (0.250, 0.473, 0.527)
Na (0.082, 0.331, 0.340)
Na (0.418, 0.660, 0.669)
Na (0.582, 0.340, 0.331)
Na (0.918, 0.669, 0.660)
Sb (0.250, 0.065, 0.935)
Sb (0.750, 0.935, 0.065)

=====

Entry 2:
First-principles (PBE) data for a relaxed structure of Na5SbSe6, as listed in Alexandria via LeMat-Bulk.

Calculated values
For the calculated volume, the calculation gives 26.60 Å³/atom. As for the raw formation energy: -620 meV/atom. Its total energy is -39.1 eV/cell. Its distance to the lowest polymorph of the same formula is 24 meV/atom. The density of states at the Fermi level is 10.17 states/eV/f.u.

Cell lengths 7.230, 7.335, 7.421 Å; angles 60.38, 79.74, 68.88 degrees
Sites, in units of the cell vectors:
Se (0.781, 0.775, 0.000)
Se (0.233, 0.626, 0.297)
Se (0.219, 0.225, 0.000)
Se (0.233, 0.923, 0.703)
Se (0.767, 0.077, 0.297)
Se (0.767, 0.374, 0.703)
Na (0.500, 0.500, 0.000)
Na (0.500, 0.169, 0.662)
Na (0.500, 0.831, 0.338)
Na (0.000, 0.671, 0.658)
Na (0.000, 0.329, 0.342)
Sb (0.000, 0.000, 0.000)

=====

Entry 3:
First-principles (PBE) data for a relaxed structure of NaSb2Se, as listed in Alexandria via LeMat-Bulk.

Calculated values
For the calculated volume, the calculation gives 29.14 Å³/atom. As for the raw formation energy: -85 meV/atom. Its total energy is -26.8 eV/cell. The density of states at the Fermi level is 2.27 states/eV/f.u.

Cell lengths 8.952, 8.952, 6.967 Å; angles 50.02, 50.02, 90.00 degrees
Sites, in units of the cell vectors:
Se (0.000, 0.000, 0.000)
Se (0.750, 0.250, 0.500)
Sb (0.375, 0.331, 0.750)
Sb (0.669, 0.125, 0.250)
Sb (0.081, 0.625, 0.250)
Sb (0.875, 0.919, 0.750)
Na (0.250, 0.750, 0.500)
Na (0.500, 0.500, 0.000)

=====

Entry 4:
First-principles (PBE) data for a relaxed structure of Na3Sb5Se12, as listed in Alexandria via LeMat-Bulk.

Calculated values
For the calculated volume, the calculation gives 30.50 Å³/atom. As for the raw formation energy: -317 meV/atom. Its total energy is -290.9 eV/cell. The density of states at the Fermi level is 2.92 states/eV/f.u.

Cell lengths 14.690, 14.690, 14.690 Å; angles 109.47, 109.47, 109.47 degrees
Sites, in units of the cell vectors:
Se (0.715, 0.589, 0.180)
Se (0.410, 0.375, 0.589)
Se (0.465, 0.680, 0.090)
Se (0.125, 0.411, 0.090)
Se (0.910, 0.820, 0.535)
Se (0.910, 0.089, 0.875)
Se (0.680, 0.215, 0.589)
Se (0.820, 0.910, 0.035)
Se (0.090, 0.180, 0.465)
Se (0.125, 0.715, 0.535)
Se (0.375, 0.965, 0.785)
Se (0.820, 0.911, 0.285)
Se (0.589, 0.875, 0.410)
Se (0.965, 0.590, 0.180)
Se (0.465, 0.785, 0.875)
Se (0.320, 0.785, 0.411)
Se (0.911, 0.820, 0.785)
Se (0.411, 0.125, 0.590)
Se (0.410, 0.035, 0.320)
Se (0.785, 0.320, 0.911)
Se (0.875, 0.285, 0.465)
Se (0.035, 0.625, 0.715)
Se (0.589, 0.715, 0.680)
Se (0.535, 0.215, 0.125)
Se (0.965, 0.375, 0.285)
Se (0.089, 0.180, 0.215)
Se (0.320, 0.535, 0.410)
Se (0.680, 0.465, 0.590)
Se (0.285, 0.875, 0.965)
Se (0.180, 0.090, 0.965)
Se (0.411, 0.285, 0.320)
Se (0.625, 0.035, 0.215)
Se (0.590, 0.625, 0.411)
Se (0.035, 0.410, 0.820)
Se (0.625, 0.590, 0.911)
Se (0.215, 0.680, 0.089)
Se (0.590, 0.965, 0.680)
Se (0.215, 0.535, 0.625)
Se (0.089, 0.910, 0.375)
Se (0.090, 0.911, 0.125)
Se (0.375, 0.410, 0.089)
Se (0.715, 0.125, 0.035)
Se (0.285, 0.411, 0.820)
Se (0.911, 0.090, 0.625)
Se (0.535, 0.320, 0.910)
Se (0.875, 0.589, 0.910)
Se (0.180, 0.089, 0.715)
Se (0.785, 0.465, 0.375)
Na (0.125, 0.250, 0.875)
Na (0.875, 0.750, 0.125)
Na (0.250, 0.625, 0.875)
Na (0.875, 0.125, 0.250)
Na (0.625, 0.375, 0.750)
Na (0.375, 0.625, 0.250)
Na (0.250, 0.125, 0.375)
Na (0.750, 0.875, 0.625)
Na (0.375, 0.750, 0.625)
Na (0.750, 0.375, 0.125)
Na (0.125, 0.875, 0.750)
Na (0.625, 0.250, 0.375)
Sb (0.250, 0.875, 0.125)
Sb (0.125, 0.375, 0.250)
Sb (0.375, 0.250, 0.125)
Sb (0.500, 0.000, 0.500)
Sb (0.250, 0.375, 0.625)
Sb (0.750, 0.625, 0.375)
Sb (0.000, 0.000, 0.500)
Sb (0.500, 0.000, 0.000)
Sb (0.875, 0.250, 0.625)
Sb (0.500, 0.500, 0.000)
Sb (0.000, 0.000, 0.000)
Sb (0.125, 0.750, 0.375)
Sb (0.000, 0.500, 0.000)
Sb (0.625, 0.875, 0.250)
Sb (0.875, 0.625, 0.750)
Sb (0.500, 0.500, 0.500)
Sb (0.625, 0.750, 0.875)
Sb (0.000, 0.500, 0.500)
Sb (0.750, 0.125, 0.875)
Sb (0.375, 0.125, 0.750)

=====

Entry 5:
First-principles (PBE) data for a relaxed structure of Na8SbSe6, as listed in Alexandria via LeMat-Bulk.

Calculated values
For the calculated volume, the calculation gives 29.37 Å³/atom. As for the raw formation energy: -846 meV/atom. Its total energy is -96.5 eV/cell. The density of states at the Fermi level is 2.28 states/eV/f.u.

Cell lengths 8.775, 8.163, 12.302 Å; angles 90.00, 90.00, 90.00 degrees
Sites, in units of the cell vectors:
Na (0.256, 0.000, 0.519)
Na (0.926, 0.209, 0.166)
Na (0.371, 0.000, 0.954)
Na (0.442, 0.724, 0.681)
Na (0.074, 0.709, 0.666)
Na (0.074, 0.291, 0.666)
Na (0.226, 0.288, 0.345)
Na (0.926, 0.791, 0.166)
Na (0.442, 0.276, 0.681)
Na (0.744, 0.500, 0.019)
Na (0.558, 0.776, 0.181)
Na (0.558, 0.224, 0.181)
Na (0.774, 0.212, 0.845)
Na (0.226, 0.712, 0.345)
Na (0.629, 0.500, 0.454)
Na (0.774, 0.788, 0.845)
Sb (0.752, 0.000, 0.478)
Sb (0.248, 0.500, 0.978)
Se (0.984, 0.500, 0.859)
Se (0.756, 0.748, 0.607)
Se (0.016, 0.000, 0.359)
Se (0.283, 0.500, 0.527)
Se (0.244, 0.752, 0.107)
Se (0.247, 0.000, 0.738)
Se (0.488, 0.000, 0.363)
Se (0.753, 0.500, 0.238)
Se (0.717, 0.000, 0.027)
Se (0.756, 0.252, 0.607)
Se (0.244, 0.248, 0.107)
Se (0.512, 0.500, 0.863)

=====

Entry 6:
First-principles (PBE) data for a relaxed structure of NaSb2Se4, as listed in Alexandria via LeMat-Bulk.

Calculated values
For the calculated volume, the calculation gives 27.26 Å³/atom. As for the raw formation energy: -387 meV/atom. Its total energy is -52.4 eV/cell. Its distance to the lowest polymorph of the same formula is 0 meV/atom. The density of states at the Fermi level is 4.08 states/eV/f.u.

Cell lengths 4.053, 6.984, 14.091 Å; angles 90.00, 90.00, 106.87 degrees
Sites, in units of the cell vectors:
Se (0.227, 0.454, 0.884)
Se (0.500, 0.000, 0.000)
Se (0.773, 0.546, 0.384)
Se (0.227, 0.454, 0.616)
Se (0.773, 0.546, 0.116)
Se (0.058, 0.115, 0.250)
Se (0.942, 0.885, 0.750)
Se (0.500, 0.000, 0.500)
Na (0.402, 0.803, 0.250)
Na (0.598, 0.197, 0.750)
Sb (0.864, 0.727, 0.927)
Sb (0.864, 0.727, 0.573)
Sb (0.136, 0.273, 0.427)
Sb (0.136, 0.273, 0.073)

=====

Entry 7:
First-principles (PBE) data for a relaxed structure of Na5Sb2Se5, as listed in Alexandria via LeMat-Bulk.

Calculated values
For the calculated volume, the calculation gives 29.35 Å³/atom. As for the raw formation energy: -672 meV/atom. Its total energy is -40.3 eV/cell. The density of states at the Fermi level is 1.66 states/eV/f.u.

Cell lengths 4.525, 7.019, 12.314 Å; angles 106.96, 90.00, 108.80 degrees
Sites, in units of the cell vectors:
Na (0.650, 0.301, 0.041)
Na (0.500, 0.000, 0.500)
Na (0.266, 0.533, 0.640)
Na (0.350, 0.699, 0.959)
Na (0.734, 0.467, 0.360)
Se (0.891, 0.781, 0.590)
Se (0.322, 0.645, 0.205)
Se (0.109, 0.219, 0.410)
Se (0.678, 0.355, 0.795)
Se (0.000, 0.000, 0.000)
Sb (0.949, 0.898, 0.215)
Sb (0.051, 0.102, 0.785)

=====

Entry 8:
First-principles (PBE) data for a relaxed structure of NaSiSbSe4, as listed in Alexandria via LeMat-Bulk.

Calculated values
For the calculated volume, the calculation gives 29.60 Å³/atom. As for the raw formation energy: -484 meV/atom. Its total energy is -56.4 eV/cell.

Cell lengths 7.024, 7.024, 9.158 Å; angles 90.00, 90.00, 113.46 degrees
Sites, in units of the cell vectors:
Se (0.240, 0.760, 0.448)
Se (0.760, 0.240, 0.552)
Se (0.767, 0.773, 0.250)
Se (0.773, 0.767, 0.750)
Se (0.233, 0.227, 0.750)
Se (0.227, 0.233, 0.250)
Se (0.240, 0.760, 0.052)
Se (0.760, 0.240, 0.948)
Na (0.500, 0.500, 0.500)
Na (0.500, 0.500, 0.000)
Si (0.128, 0.872, 0.250)
Si (0.872, 0.128, 0.750)
Sb (0.831, 0.169, 0.250)
Sb (0.169, 0.831, 0.750)

=====

Entry 9:
First-principles (PBE) data for a relaxed structure of Na3SmSb3Se8, as listed in Alexandria via LeMat-Bulk.

Calculated values
For the calculated volume, the calculation gives 28.09 Å³/atom. As for the raw formation energy: -782 meV/atom. Its total energy is -60.6 eV/cell. The density of states at the Fermi level is 9.00 states/eV/f.u.

Cell lengths 8.247, 8.246, 8.596 Å; angles 118.68, 90.00, 120.00 degrees
Sites, in units of the cell vectors:
Se (0.754, 0.508, 0.272)
Se (0.246, 0.982, 0.728)
Se (0.744, 0.487, 0.731)
Se (0.736, 0.982, 0.728)
Se (0.246, 0.492, 0.728)
Se (0.264, 0.018, 0.272)
Se (0.256, 0.513, 0.269)
Se (0.754, 0.018, 0.272)
Sb (0.000, 0.500, 0.500)
Sb (0.500, 0.500, 0.500)
Sb (0.500, 0.000, 0.500)
Sm (0.000, 0.000, 0.500)
Na (0.000, 0.000, 0.000)
Na (0.000, 0.500, 0.000)
Na (0.500, 0.500, 0.000)

=====

Entry 10:
First-principles (PBE) data for a relaxed structure of NaSnSb2Se4, as listed in Alexandria via LeMat-Bulk.

Calculated values
For the calculated volume, the calculation gives 26.39 Å³/atom. As for the raw formation energy: -423 meV/atom. Its total energy is -30.9 eV/cell. The density of states at the Fermi level is 2.50 states/eV/f.u.

Cell lengths 5.988, 5.988, 7.200 Å; angles 113.35, 113.35, 92.69 degrees
Sites, in units of the cell vectors:
Se (0.695, 0.695, 0.496)
Se (0.440, 0.939, 0.000)
Se (0.939, 0.440, 0.000)
Se (0.200, 0.200, 0.504)
Na (0.437, 0.437, 0.000)
Sb (0.175, 0.675, 0.500)
Sb (0.675, 0.175, 0.500)
Sn (0.936, 0.936, 0.000)

=====

Entry 11:
First-principles (PBE) data for a relaxed structure of Na4SnSb3Se8, as listed in Alexandria via LeMat-Bulk.

Calculated values
For the calculated volume, the calculation gives 26.41 Å³/atom. As for the raw formation energy: -645 meV/atom. Its total energy is -59.9 eV/cell. The density of states at the Fermi level is 3.70 states/eV/f.u.

Cell lengths 8.282, 8.572, 8.283 Å; angles 118.91, 120.00, 90.00 degrees
Sites, in units of the cell vectors:
Na (0.500, 0.000, 0.000)
Na (0.000, 0.000, 0.000)
Na (0.500, 0.000, 0.500)
Na (0.000, 0.000, 0.500)
Sb (0.500, 0.500, 0.000)
Sb (0.500, 0.500, 0.500)
Sb (0.000, 0.500, 0.500)
Se (0.744, 0.732, 0.988)
Se (0.756, 0.268, 0.012)
Se (0.244, 0.732, 0.488)
Se (0.756, 0.268, 0.512)
Se (0.744, 0.733, 0.489)
Se (0.244, 0.732, 0.988)
Se (0.256, 0.268, 0.012)
Se (0.256, 0.267, 0.511)
Sn (0.000, 0.500, 0.000)

=====

Entry 12:
First-principles (PBE) data for a relaxed structure of Na2SnSbSe4, as listed in Alexandria via LeMat-Bulk.

Calculated values
For the calculated volume, the calculation gives 26.21 Å³/atom. As for the raw formation energy: -655 meV/atom. Its total energy is -29.9 eV/cell. The density of states at the Fermi level is 2.91 states/eV/f.u.

Cell lengths 4.108, 7.141, 7.534 Å; angles 108.46, 90.00, 90.00 degrees
Sites, in units of the cell vectors:
Sn (0.500, 0.500, 0.000)
Se (0.000, 0.255, 0.768)
Se (0.000, 0.745, 0.232)
Se (0.500, 0.244, 0.232)
Se (0.500, 0.756, 0.768)
Na (0.500, 0.000, 0.500)
Na (0.000, 0.500, 0.500)
Sb (0.000, 0.000, 0.000)

=====

Question: Which formula does entry 12 have?
Answer: Na2SnSbSe4

=====

Question: Look up the calculated volume of the sixth one.
Answer: 27.26 Å³/atom